1.
The following is a PBE calculation of crystalline CeAlPt5 at its relaxed geometry, from Alexandria via LeMat-Bulk.

The total energy comes out at -46.17 eV per cell. Its magnetization is 0.00 μB per formula unit. The density of states at the Fermi level is 1.79 states/eV/f.u. The calculation puts the energy of formation from the pure elements at -0.899 eV per atom.

The structure belongs to space group P4/mmm (No. 123); the cell edges are 4.107, 4.107 and 7.264 Å and the angles 90.00°, 90.00° and 90.00°. Symmetry generates all atoms from Ce at (0.000, 0.000, 0.000), Al at (0.500, 0.500, 0.500), Pt at (0.000, 0.500, 0.292) and Pt at (0.500, 0.500, 0.000).


2.
The following is a PBE calculation of crystalline KCa3V at its relaxed geometry, from Alexandria via LeMat-Bulk.

For the energy above the most stable polymorph in this dataset, the calculation gives 0 meV/atom. The total energy comes out at -13.57 eV per cell. Its magnetization is 5.10 μB per formula unit. The density of states at the Fermi level is 3.29 states/eV/f.u. The calculation puts the energy of formation from the pure elements at 0.529 eV per atom.

The structure belongs to space group Pm-3m (No. 221); the cell edges are 6.078, 6.078 and 6.078 Å and the angles 90.00°, 90.00° and 90.00°. Symmetry generates all atoms from K at (0.000, 0.000, 0.000), Ca at (0.000, 0.500, 0.500) and V at (0.500, 0.500, 0.500).


- Look up the energy of formation from the pure elements of the second one.
  0.529 eV per atom


- The highest magnetization belongs to which entry?
  KCa3V